No. 1
## Pr2ErGa4 (PBE-GGA)

Data for a relaxed structure of Pr2ErGa4.

a = 4.199 Å, b = 4.321 Å, c = 9.899 Å
α = 102.61°, β = 102.24°, γ = 90.00°
Last column: magnetic moment on the atom in μB.
Fractional positions:
Ga: 0.936 0.436 0.872  0.01
Ga: 0.064 0.564 0.128  0.01
Ga: 0.639 0.639 0.277  0.00
Ga: 0.361 0.361 0.723  0.00
Pr: 0.816 0.816 0.632  0.10
Pr: 0.184 0.184 0.368  0.10
Er: 0.500 0.000 0.000  0.01

Output
Calculated volume ... 171 Å³/cell
Symmetry ... Immm
Calculated total energy ... -4.332 eV per atom



No. 2
## Pr3Er4Ga4 (PBE-GGA)

Data for a relaxed structure of Pr3Er4Ga4.

a = 4.835 Å, b = 7.648 Å, c = 9.280 Å
α = 114.34°, β = 105.10°, γ = 90.00°
Fractional positions:
Ga: 0.203 0.703 0.407
Ga: 0.500 0.821 0.000
Ga: 0.500 0.179 0.000
Ga: 0.797 0.297 0.593
Pr: 0.000 0.500 0.000
Pr: 0.891 0.891 0.782
Pr: 0.109 0.109 0.218
Er: 0.327 0.539 0.655
Er: 0.673 0.885 0.345
Er: 0.327 0.115 0.655
Er: 0.673 0.461 0.345

Output
Calculated volume ... 300 Å³/cell
Symmetry ... Immm
Calculated total energy ... -4.456 eV per atom



No. 3
## PrEr3Ga2 (PBE-GGA)

Data for a relaxed structure of PrEr3Ga2.

a = 5.119 Å, b = 9.159 Å, c = 8.825 Å
α = 124.32°, β = 90.00°, γ = 106.23°
Fractional positions:
Ga: 0.489 0.977 0.128
Ga: 0.224 0.448 0.833
Ga: 0.511 0.023 0.872
Ga: 0.776 0.552 0.167
Er: 0.936 0.872 0.589
Er: 0.312 0.624 0.612
Er: 0.064 0.128 0.411
Er: 0.380 0.760 0.269
Er: 0.620 0.240 0.731
Er: 0.688 0.376 0.388
Pr: 0.131 0.262 0.073
Pr: 0.869 0.738 0.927

Output
Calculated volume ... 322 Å³/cell
Symmetry ... C2/m
Distance to the lowest polymorph of the same formula ... 0.079 eV per atom
Calculated total energy ... -4.420 eV per atom



No. 4
## PrErGa4 (PBE-GGA)

Data for a relaxed structure of PrErGa4.

a = 5.580 Å, b = 5.580 Å, c = 5.580 Å
α = 60.00°, β = 60.00°, γ = 60.00°
Fractional positions:
Ga: 0.625 0.125 0.625
Ga: 0.625 0.625 0.625
Ga: 0.625 0.625 0.125
Ga: 0.125 0.625 0.625
Pr: 0.000 0.000 0.000
Er: 0.250 0.250 0.250

Output
Calculated volume ... 123 Å³/cell
Symmetry ... F-43m
Distance to the lowest polymorph of the same formula ... 0.119 eV per atom
Calculated total energy ... -4.107 eV per atom



No. 5
## Pr2ErGa (PBE-GGA)

Data for a relaxed structure of Pr2ErGa.

a = 4.872 Å, b = 4.823 Å, c = 4.823 Å
α = 90.00°, β = 90.00°, γ = 90.00°
Fractional positions:
Pr: 0.000 0.500 0.000
Pr: 0.000 0.000 0.500
Er: 0.500 0.500 0.500
Ga: 0.500 0.000 0.000

Output
Calculated volume ... 113 Å³/cell
Symmetry ... P4/mmm
Distance to the lowest polymorph of the same formula ... 0.000 eV per atom
Calculated total energy ... -4.509 eV per atom



No. 6
## PrEr4Ga4 (PBE-GGA)

Data for a relaxed structure of PrEr4Ga4.

a = 5.850 Å, b = 9.210 Å, c = 9.210 Å
α = 90.00°, β = 90.00°, γ = 90.00°
Fractional positions:
Ga: 0.123 0.860 0.718
Ga: 0.877 0.282 0.860
Ga: 0.123 0.140 0.282
Ga: 0.877 0.718 0.140
Ga: 0.377 0.360 0.218
Ga: 0.623 0.782 0.360
Ga: 0.623 0.218 0.640
Ga: 0.377 0.640 0.782
Er: 0.381 0.670 0.096
Er: 0.619 0.096 0.330
Er: 0.381 0.330 0.904
Er: 0.619 0.904 0.670
Er: 0.119 0.170 0.596
Er: 0.881 0.404 0.170
Er: 0.119 0.830 0.404
Er: 0.881 0.596 0.830
Pr: 0.500 0.500 0.500
Pr: 0.000 0.000 0.000

Output
Calculated volume ... 496 Å³/cell
Symmetry ... P4_2/n
Calculated total energy ... -4.251 eV per atom



No. 7
## Pr2ErGa (PBE-GGA)

Data for a relaxed structure of Pr2ErGa.

a = 3.639 Å, b = 3.639 Å, c = 9.040 Å
α = 90.00°, β = 90.00°, γ = 90.00°
Fractional positions:
Pr: 0.000 0.000 0.213
Pr: 0.000 0.000 0.787
Ga: 0.500 0.500 0.000
Er: 0.500 0.500 0.500

Output
Calculated volume ... 120 Å³/cell
Symmetry ... P4/mmm
Distance to the lowest polymorph of the same formula ... 0.005 eV per atom
Calculated total energy ... -4.504 eV per atom



No. 8
## PrEr2Ga6 (PBE-GGA)

Data for a relaxed structure of PrEr2Ga6.

a = 4.336 Å, b = 7.119 Å, c = 7.776 Å
α = 117.24°, β = 106.19°, γ = 90.00°
Fractional positions:
Ga: 0.500 0.181 0.000
Ga: 0.314 0.510 0.629
Ga: 0.686 0.490 0.371
Ga: 0.314 0.118 0.629
Ga: 0.686 0.882 0.371
Ga: 0.500 0.819 0.000
Er: 0.874 0.874 0.748
Er: 0.126 0.126 0.252
Pr: 0.000 0.500 0.000

Output
Calculated volume ... 203 Å³/cell
Symmetry ... Immm
Distance to the lowest polymorph of the same formula ... 0.135 eV per atom
Calculated total energy ... -4.051 eV per atom



No. 9
## Pr2ErGa (PBE-GGA)

Data for a relaxed structure of Pr2ErGa.

a = 3.728 Å, b = 3.728 Å, c = 10.690 Å
α = 79.96°, β = 79.96°, γ = 60.00°
Last column: magnetic moment on the atom in μB.
Fractional positions:
Pr: 0.261 0.261 0.217  0.04
Pr: 0.072 0.072 0.783  0.08
Ga: 0.666 0.666 0.001  0.01
Er: 0.500 0.500 0.500  0.33

Output
Calculated volume ... 126 Å³/cell
Symmetry ... R3m
Distance to the lowest polymorph of the same formula ... 0.095 eV per atom
Calculated total energy ... -4.414 eV per atom



No. 10
## Pr2ErGa6 (PBE-GGA)

Data for a relaxed structure of Pr2ErGa6.

a = 4.265 Å, b = 7.381 Å, c = 7.381 Å
α = 120.00°, β = 90.00°, γ = 90.00°
Fractional positions:
Ga: 0.500 0.669 0.000
Ga: 0.500 0.331 0.000
Ga: 0.500 0.000 0.669
Ga: 0.500 0.669 0.669
Ga: 0.500 0.331 0.331
Ga: 0.500 0.000 0.331
Er: 0.000 0.000 0.000
Pr: 0.000 0.333 0.667
Pr: 0.000 0.667 0.333

Output
Calculated volume ... 201 Å³/cell
Symmetry ... P6/mmm
Distance to the lowest polymorph of the same formula ... 0.000 eV per atom
Calculated total energy ... -4.241 eV per atom



No. 11
## PrErGa2Pt5 (PBE-GGA)

Data for a relaxed structure of PrErGa2Pt5.

a = 4.231 Å, b = 4.231 Å, c = 9.370 Å
α = 90.00°, β = 90.00°, γ = 90.00°
Fractional positions:
Pt: 0.000 0.500 0.733
Pt: 0.500 0.000 0.733
Pt: 0.500 0.000 0.267
Pt: 0.000 0.500 0.267
Pt: 0.500 0.500 0.500
Ga: 0.500 0.500 0.871
Ga: 0.500 0.500 0.129
Er: 0.000 0.000 0.000
Pr: 0.000 0.000 0.500

Output
Calculated volume ... 168 Å³/cell
Symmetry ... P4/mmm
Calculated total energy ... -5.939 eV per atom



No. 12
## PrErGaPt (PBE-GGA)

Data for a relaxed structure of PrErGaPt.

a = 3.878 Å, b = 4.343 Å, c = 6.033 Å
α = 90.00°, β = 108.75°, γ = 90.00°
Fractional positions:
Pr: 0.150 0.000 0.299
Ga: 0.568 0.500 0.135
Er: 0.864 0.500 0.727
Pt: 0.419 0.000 0.838

Output
Calculated volume ... 96 Å³/cell
Symmetry ... Amm2
Distance to the lowest polymorph of the same formula ... 0.000 eV per atom
Calculated total energy ... -5.482 eV per atom



| no. | energy of formation (eV/f.u.) |
| --- | --- |
| 1 | -4.10 |
| 2 | -4.32 |
| 3 | -2.00 |
| 4 | -3.19 |
| 5 | -0.89 |
| 6 | -3.13 |
| 7 | -0.87 |
| 8 | -4.40 |
| 9 | -0.51 |
| 10 | -5.88 |
| 11 | -7.85 |
| 12 | -3.52 |